Entry 1:
DFT (PBEsol) results for LiTaS2 after structural relaxation.

Output
- V: 122 Å³ per cell
- Formation energy (no corrections): -1360 meV/atom
- Total magnetic moment: 0.00 μB per cell
- Symmetry: No. 194

Cell lengths 3.316, 3.316, 12.837 Å; angles 90.00, 90.00, 120.00 degrees
Sites, in units of the cell vectors:
Ta: 0.000 0.000 0.750
S: 0.333 0.667 0.128
S: 0.667 0.333 0.628
S: 0.667 0.333 0.872
S: 0.333 0.667 0.372
Li: 0.000 0.000 0.000
Ta: 0.000 0.000 0.250
Li: 0.000 0.000 0.500



Entry 2:
DFT (PBEsol) results for Hf3BeTc after structural relaxation.

Output
- V: 92 Å³ per cell
- E_tot: -8.727 eV/atom
- Total magnetic moment: 0.00 μB per cell
- Symmetry: No. 221

Cell lengths 4.510, 4.510, 4.510 Å; angles 90.00, 90.00, 90.00 degrees
Sites, in units of the cell vectors:
Be: 0.000 0.000 0.000
Tc: 0.500 0.500 0.500
Hf: 0.500 0.000 0.000
Hf: 0.000 0.500 0.000
Hf: 0.000 0.000 0.500



Entry 3:
DFT (PBEsol) results for Ca9PrF20 after structural relaxation.

Output
- V: 816 Å³ per cell
- Formation energy (no corrections): -3895 meV/atom
- Total magnetic moment: 2.00 μB per cell
- Symmetry: No. 2

Cell lengths 7.716, 8.673, 12.809 Å; angles 101.75, 90.49, 103.03 degrees
Site moments in Bohr magnetons follow the coordinates.
Sites, in units of the cell vectors:
F: 0.737 0.450 0.676  0.00
F: 0.790 0.653 0.977  0.00
F: 0.241 0.447 0.676  0.00
F: 0.759 0.553 0.324  0.00
F: 0.837 0.849 0.277  0.00
F: 0.582 0.845 0.787  0.01
Ca: 0.186 0.203 0.545  0.03
Ca: 0.226 0.400 0.849  0.00
F: 0.339 0.835 0.269  0.01
F: 0.533 0.643 0.473  0.01
F: 0.087 0.845 0.774  0.00
F: 0.860 0.948 0.927  0.00
Ca: 0.276 0.591 0.149  0.00
Ca: 0.669 0.196 0.547  0.03
F: 0.360 0.949 0.926  0.00
F: 0.934 0.254 0.875  0.00
F: 0.661 0.165 0.731  0.01
F: 0.039 0.650 0.475  0.00
F: 0.617 0.948 0.422  0.01
Pr: 0.865 0.997 0.744  0.27
F: 0.140 0.052 0.073  0.00
F: 0.913 0.155 0.226  0.00
F: 0.015 0.551 0.826  0.00
F: 0.307 0.746 0.627  0.01
F: 0.902 0.061 0.571  0.01
Ca: 0.774 0.600 0.151  0.00
F: 0.489 0.448 0.172  0.00
F: 0.961 0.350 0.525  0.00
F: 0.822 0.736 0.625  0.01
F: 0.163 0.151 0.723  0.00
Ca: 0.814 0.797 0.455  0.03
Ca: 0.572 0.798 0.956  0.00
F: 0.066 0.746 0.125  0.00
F: 0.436 0.251 0.873  0.00
F: 0.511 0.552 0.828  0.00
Ca: 0.377 0.997 0.747  0.02
F: 0.178 0.264 0.375  0.01
Ca: 0.923 0.201 0.050  0.00
Ca: 0.331 0.804 0.453  0.03
Ca: 0.724 0.409 0.851  0.00
F: 0.418 0.155 0.213  0.01
Ca: 0.028 0.590 0.648  0.00
Ca: 0.623 0.003 0.253  0.02
F: 0.985 0.449 0.174  0.00
F: 0.713 0.352 0.024  0.00
Ca: 0.428 0.202 0.044  0.00
F: 0.467 0.357 0.527  0.01
Ca: 0.475 0.397 0.350  0.02
F: 0.640 0.051 0.074  0.00
F: 0.564 0.749 0.127  0.00
F: 0.098 0.939 0.429  0.01
F: 0.263 0.550 0.324  0.00
F: 0.210 0.347 0.023  0.00
F: 0.693 0.254 0.373  0.01
Ca: 0.525 0.603 0.650  0.02
Pr: 0.135 0.003 0.256  0.27
F: 0.383 0.052 0.578  0.01
Ca: 0.972 0.410 0.352  0.00
Ca: 0.077 0.799 0.950  0.00
F: 0.287 0.648 0.976  0.00



Entry 4:
DFT (PBEsol) results for Y2ZrFe after structural relaxation.

Output
- V: 86 Å³ per cell
- E_tot: -7.768 eV/atom
- Total magnetic moment: 0.00 μB per cell
- Symmetry: No. 71

Cell lengths 3.370, 4.905, 6.016 Å; angles 114.06, 106.27, 90.00 degrees
Sites, in units of the cell vectors:
Zr: 0.500 0.000 0.000
Y: 0.698 0.698 0.397
Y: 0.302 0.302 0.603
Fe: 0.000 0.500 0.000



Entry 5:
DFT (PBEsol) results for La2FeTc after structural relaxation.

Output
- V: 101 Å³ per cell
- Total magnetic moment: 0.00 μB per cell
- Symmetry: No. 160
- ΔE to the lowest computed polymorph: 0.0000 eV/atom

Cell lengths 3.904, 3.904, 7.991 Å; angles 75.86, 75.86, 60.00 degrees
Sites, in units of the cell vectors:
La: 0.784 0.784 0.649
Tc: 0.530 0.530 0.409
La: 0.965 0.965 0.106
Fe: 0.221 0.221 0.336



Entry 6:
DFT (PBEsol) results for CsBaSe2N after structural relaxation.

Output
- V: 154 Å³ per cell
- Formation energy (no corrections): 460 meV/atom
- Total magnetic moment: 1.35 μB per cell
- Symmetry: No. 123

Cell lengths 4.596, 5.787, 5.787 Å; angles 90.00, 90.00, 90.00 degrees
Site moments in Bohr magnetons follow the coordinates.
Sites, in units of the cell vectors:
N: 0.500 0.000 0.000  0.71
Ba: 0.500 0.500 0.500  0.00
Cs: 0.000 0.000 0.000  0.02
Se: 0.000 0.000 0.500  0.09
Se: 0.000 0.500 0.000  0.09



Entry 7:
DFT (PBEsol) results for TlAgNO2 after structural relaxation.

Output
- V: 77 Å³ per cell
- Formation energy (no corrections): 1076 meV/atom
- Total magnetic moment: 2.38 μB per cell
- Symmetry: No. 123

Cell lengths 4.236, 4.236, 4.317 Å; angles 90.00, 90.00, 90.00 degrees
Site moments in Bohr magnetons follow the coordinates.
Sites, in units of the cell vectors:
N: 0.000 0.000 0.500  1.08
O: 0.000 0.500 0.000  0.33
Tl: 0.000 0.000 0.000  0.01
O: 0.500 0.000 0.000  0.33
Ag: 0.500 0.500 0.500  0.10



Entry 8:
DFT (PBEsol) results for TaIr2Pt after structural relaxation.

Output
- V: 59 Å³ per cell
- Total magnetic moment: 0.00 μB per cell
- Symmetry: No. 123
- ΔE to the lowest computed polymorph: 0.0000 eV/atom

Cell lengths 3.832, 3.937, 3.937 Å; angles 90.00, 90.00, 90.00 degrees
Sites, in units of the cell vectors:
Ir: 0.000 0.000 0.500
Pt: 0.500 0.500 0.500
Ir: 0.000 0.500 0.000
Ta: 0.500 0.000 0.000



Entry 9:
DFT (PBEsol) results for Al2CrAg after structural relaxation.

Output
- V: 60 Å³ per cell
- Total magnetic moment: 2.59 μB per cell
- Symmetry: No. 99
- ΔE to the lowest computed polymorph: 0.1843 eV/atom

Cell lengths 3.280, 3.280, 5.611 Å; angles 90.00, 90.00, 90.00 degrees
Site moments in Bohr magnetons follow the coordinates.
Sites, in units of the cell vectors:
Al: 0.000 0.000 0.993  -0.02
Ag: 0.500 0.500 0.760  0.04
Al: 0.500 0.500 0.271  -0.01
Cr: 0.000 0.000 0.476  2.42



Entry 10:
DFT (PBEsol) results for NaGa2Pd2 after structural relaxation.

Output
- V: 159 Å³ per cell
- Total magnetic moment: 0.00 μB per cell
- Symmetry: No. 127
- ΔE to the lowest computed polymorph: 0.0000 eV/atom

Cell lengths 2.787, 7.544, 7.544 Å; angles 90.00, 90.00, 90.00 degrees
Sites, in units of the cell vectors:
Pd: 0.000 0.143 0.357
Pd: 0.000 0.357 0.857
Ga: 0.500 0.153 0.653
Pd: 0.000 0.857 0.643
Na: 0.000 0.500 0.500
Ga: 0.500 0.347 0.153
Pd: 0.000 0.643 0.143
Na: 0.000 0.000 0.000
Ga: 0.500 0.653 0.847
Ga: 0.500 0.847 0.347



Entry 11:
DFT (PBEsol) results for Cr2Rh after structural relaxation.

Output
- V: 286 Å³ per cell
- E_tot: -9.552 eV/atom
- Total magnetic moment: 0.00 μB per cell
- Symmetry: No. 194

Cell lengths 4.656, 4.656, 15.248 Å; angles 90.00, 90.00, 120.00 degrees
Sites, in units of the cell vectors:
Cr: 0.500 0.500 0.000
Rh: 0.667 0.333 0.344
Cr: 0.673 0.837 0.250
Cr: 0.163 0.327 0.250
Cr: 0.667 0.333 0.626
Cr: 0.333 0.667 0.126
Rh: 0.333 0.667 0.656
Cr: 0.000 0.500 0.500
Cr: 0.500 0.500 0.500
Rh: 0.333 0.667 0.844
Cr: 0.333 0.667 0.374
Rh: 0.000 0.000 0.407
Rh: 0.000 0.000 0.907
Rh: 0.667 0.333 0.156
Cr: 0.000 0.500 0.000
Cr: 0.327 0.163 0.750
Cr: 0.837 0.163 0.750
Cr: 0.500 0.000 0.500
Rh: 0.000 0.000 0.593
Cr: 0.163 0.837 0.250
Cr: 0.500 0.000 0.000
Cr: 0.667 0.333 0.874
Cr: 0.837 0.673 0.750
Rh: 0.000 0.000 0.093



Entry 12:
DFT (PBEsol) results for CoTe2O5 after structural relaxation.

Output
- V: 927 Å³ per cell
- Formation energy (no corrections): -884 meV/atom
- Total magnetic moment: 24.00 μB per cell
- Symmetry: No. 133

Cell lengths 8.525, 8.525, 12.755 Å; angles 90.00, 90.00, 90.00 degrees
Site moments in Bohr magnetons follow the coordinates.
Sites, in units of the cell vectors:
Co: 0.500 0.000 0.500  2.52
Co: 0.500 0.000 0.000  2.52
O: 0.622 0.232 0.702  0.04
O: 0.137 0.424 0.883  0.11
O: 0.637 0.076 0.883  0.11
O: 0.694 0.806 0.000  0.04
O: 0.637 0.924 0.617  0.11
O: 0.732 0.122 0.298  0.04
O: 0.076 0.637 0.383  0.11
O: 0.363 0.924 0.883  0.11
Co: 0.500 0.000 0.750  2.61
Te: 0.679 0.294 0.866  0.00
O: 0.076 0.363 0.117  0.11
Te: 0.179 0.206 0.866  0.00
O: 0.863 0.424 0.617  0.11
O: 0.424 0.137 0.383  0.11
Te: 0.821 0.794 0.866  0.00
Te: 0.679 0.706 0.634  0.00
Co: 0.000 0.500 0.250  2.61
O: 0.122 0.268 0.702  0.04
Te: 0.706 0.679 0.134  0.00
O: 0.122 0.732 0.798  0.04
O: 0.924 0.637 0.117  0.11
O: 0.194 0.306 0.500  0.04
O: 0.378 0.232 0.798  0.04
Co: 0.000 0.500 0.500  2.52
O: 0.863 0.576 0.883  0.11
Te: 0.294 0.679 0.366  0.00
O: 0.878 0.268 0.798  0.04
Te: 0.794 0.179 0.134  0.00
Te: 0.706 0.321 0.366  0.00
O: 0.878 0.732 0.702  0.04
Te: 0.179 0.794 0.634  0.00
Co: 0.500 0.000 0.250  2.61
O: 0.306 0.194 0.000  0.04
O: 0.268 0.878 0.298  0.04
O: 0.694 0.194 0.500  0.04
O: 0.732 0.878 0.202  0.04
Te: 0.294 0.321 0.134  0.00
O: 0.924 0.363 0.383  0.11
Te: 0.821 0.206 0.634  0.00
O: 0.424 0.863 0.117  0.11
Te: 0.206 0.821 0.134  0.00
O: 0.378 0.768 0.702  0.04
O: 0.768 0.622 0.298  0.04
O: 0.363 0.076 0.617  0.11
Co: 0.000 0.500 0.000  2.52
O: 0.137 0.576 0.617  0.11
O: 0.232 0.378 0.298  0.04
O: 0.806 0.306 0.000  0.04
O: 0.576 0.863 0.383  0.11
O: 0.232 0.622 0.202  0.04
O: 0.194 0.694 0.000  0.04
Te: 0.206 0.179 0.366  0.00
Te: 0.321 0.294 0.634  0.00
O: 0.806 0.694 0.500  0.04
Te: 0.321 0.706 0.866  0.00
O: 0.768 0.378 0.202  0.04
O: 0.306 0.806 0.500  0.04
Co: 0.000 0.500 0.750  2.61
O: 0.622 0.768 0.798  0.04
O: 0.268 0.122 0.202  0.04
Te: 0.794 0.821 0.366  0.00
O: 0.576 0.137 0.117  0.11



What did the twelfth record say?
DFT (PBEsol) results for CoTe2O5 after structural relaxation.

Output
- V: 927 Å³ per cell
- Formation energy (no corrections): -884 meV/atom
- Total magnetic moment: 24.00 μB per cell
- Symmetry: No. 133

Cell lengths 8.525, 8.525, 12.755 Å; angles 90.00, 90.00, 90.00 degrees
Site moments in Bohr magnetons follow the coordinates.
Sites, in units of the cell vectors:
Co: 0.500 0.000 0.500  2.52
Co: 0.500 0.000 0.000  2.52
O: 0.622 0.232 0.702  0.04
O: 0.137 0.424 0.883  0.11
O: 0.637 0.076 0.883  0.11
O: 0.694 0.806 0.000  0.04
O: 0.637 0.924 0.617  0.11
O: 0.732 0.122 0.298  0.04
O: 0.076 0.637 0.383  0.11
O: 0.363 0.924 0.883  0.11
Co: 0.500 0.000 0.750  2.61
Te: 0.679 0.294 0.866  0.00
O: 0.076 0.363 0.117  0.11
Te: 0.179 0.206 0.866  0.00
O: 0.863 0.424 0.617  0.11
O: 0.424 0.137 0.383  0.11
Te: 0.821 0.794 0.866  0.00
Te: 0.679 0.706 0.634  0.00
Co: 0.000 0.500 0.250  2.61
O: 0.122 0.268 0.702  0.04
Te: 0.706 0.679 0.134  0.00
O: 0.122 0.732 0.798  0.04
O: 0.924 0.637 0.117  0.11
O: 0.194 0.306 0.500  0.04
O: 0.378 0.232 0.798  0.04
Co: 0.000 0.500 0.500  2.52
O: 0.863 0.576 0.883  0.11
Te: 0.294 0.679 0.366  0.00
O: 0.878 0.268 0.798  0.04
Te: 0.794 0.179 0.134  0.00
Te: 0.706 0.321 0.366  0.00
O: 0.878 0.732 0.702  0.04
Te: 0.179 0.794 0.634  0.00
Co: 0.500 0.000 0.250  2.61
O: 0.306 0.194 0.000  0.04
O: 0.268 0.878 0.298  0.04
O: 0.694 0.194 0.500  0.04
O: 0.732 0.878 0.202  0.04
Te: 0.294 0.321 0.134  0.00
O: 0.924 0.363 0.383  0.11
Te: 0.821 0.206 0.634  0.00
O: 0.424 0.863 0.117  0.11
Te: 0.206 0.821 0.134  0.00
O: 0.378 0.768 0.702  0.04
O: 0.768 0.622 0.298  0.04
O: 0.363 0.076 0.617  0.11
Co: 0.000 0.500 0.000  2.52
O: 0.137 0.576 0.617  0.11
O: 0.232 0.378 0.298  0.04
O: 0.806 0.306 0.000  0.04
O: 0.576 0.863 0.383  0.11
O: 0.232 0.622 0.202  0.04
O: 0.194 0.694 0.000  0.04
Te: 0.206 0.179 0.366  0.00
Te: 0.321 0.294 0.634  0.00
O: 0.806 0.694 0.500  0.04
Te: 0.321 0.706 0.866  0.00
O: 0.768 0.378 0.202  0.04
O: 0.306 0.806 0.500  0.04
Co: 0.000 0.500 0.750  2.61
O: 0.622 0.768 0.798  0.04
O: 0.268 0.122 0.202  0.04
Te: 0.794 0.821 0.366  0.00
O: 0.576 0.137 0.117  0.11



What is the formula in the twelfth record?
CoTe2O5



What is the V in the twelfth record?
927 Å³ per cell



Which formula does entry 11 have?
Cr2Rh